# 1
# Ba2CaRe, optimized geometry, DFT PBE
# - offset from the most stable computed form (meV per atom) = 57.2
# - V (Å³ per atom) = 38.2
# - M_tot (μB/cell) = 0.6
# - DFT formation energy (eV/atom) = 0.83
# - theoretical density (g/cm3) = 5.44
data_Ba2CaRe
_symmetry_space_group_name_H-M 'P 1 m 1'
_symmetry_Int_Tables_number 6
_cell_length_a 4.048
_cell_length_b 4.122
_cell_length_c 9.236
_cell_angle_alpha 90.00
_cell_angle_beta 96.98
_cell_angle_gamma 90.00
loop_
_symmetry_equiv_pos_as_xyz
'x,y,z'
'x,-y,z'
loop_
_atom_site_label
_atom_site_fract_x
_atom_site_fract_y
_atom_site_fract_z
Ba1 0.000 0.000 0.000
Ba2 0.405 0.500 0.602
Ca1 0.581 0.500 0.258
Re1 0.091 0.000 0.358


# 2
# Ca3Cd8Hg, optimized geometry, DFT PBE
# - V (Å³ per atom) = 25.3
# - M_tot (μB/cell) = 0.0
# - DFT formation energy (eV/atom) = -0.24
# - theoretical density (g/cm3) = 6.66
data_Ca3Cd8Hg
_symmetry_space_group_name_H-M 'R 3 m'
_symmetry_Int_Tables_number 160
_symmetry_space_group_name_Hall 'R 3 -2"'
_cell_length_a 5.9966
_cell_length_b 5.9966
_cell_length_c 29.3034
_cell_angle_alpha 90.00
_cell_angle_beta 90.00
_cell_angle_gamma 120.00
loop_
_atom_site_label
_atom_site_fract_x
_atom_site_fract_y
_atom_site_fract_z
Ca1 0.0000 0.0000 0.0000
Ca2 0.0000 0.0000 0.1280
Ca3 0.0000 0.0000 0.6164
Cd1 0.0000 0.0000 0.3111
Cd2 0.0000 0.0000 0.8111
Cd3 0.0008 0.5004 0.5618
Cd4 0.1679 0.3357 0.3938
Hg1 0.0000 0.0000 0.4957